Below is CeSc3 after structural relaxation, with properties calculated at the GGA-PBE level.

**DFT total energy**: -24.64 eV per cell
**Relative energy among the computed polymorphs**: 12 meV/atom
**Energy of formation from the pure elements**: 72 meV per atom

The structure in POSCAR format:
```
CeSc3
1.0
4.6772 0.0000 0.0000
0.0000 4.6772 0.0000
0.0000 0.0000 4.6772
Ce Sc
1 3
Direct
0.0000 0.0000 0.0000
0.0000 0.5000 0.5000
0.5000 0.0000 0.5000
0.5000 0.5000 0.0000
```


Below is Ca4SnP after structural relaxation, with properties calculated at the GGA-PBE level.

**DFT total energy**: -21.83 eV per cell
**Energy of formation from the pure elements**: -735 meV per atom

The structure in POSCAR format:
```
Ca4SnP
1.0
5.0871 0.0000 0.0000
0.0000 5.0871 0.0000
0.0000 0.0000 7.2117
Ca Sn P
4 1 1
Direct
0.0000 0.5000 0.2361
0.0000 0.5000 0.7639
0.5000 0.0000 0.2361
0.5000 0.0000 0.7639
0.0000 0.0000 0.5000
0.5000 0.5000 0.0000
```


Below is Re3TcBr after structural relaxation, with properties calculated at the GGA-PBE level.

**DFT total energy**: -37.23 eV per cell
**Relative energy among the computed polymorphs**: 0 meV/atom
**ΔE_f (raw)**: 2430 meV/atom

The structure in POSCAR format:
```
Re3TcBr
1.0
4.7631 0.0000 0.0000
0.0000 4.7631 0.0000
0.0000 0.0000 4.7631
Re Tc Br
3 1 1
Direct
0.0000 0.0000 0.5000
0.0000 0.5000 0.0000
0.5000 0.0000 0.0000
0.0000 0.0000 0.0000
0.5000 0.5000 0.5000
```


Below is La2Pm3S8 after structural relaxation, with properties calculated at the GGA-PBE level.

**DFT total energy**: -81.45 eV per cell
**Relative energy among the computed polymorphs**: 36 meV/atom
**ΔE_f (raw)**: -1871 meV/atom

The structure in POSCAR format:
```
La2Pm3S8
1.0
4.9621 -7.0281 0.0000
4.9621 7.0281 0.0000
0.0000 0.0000 4.7451
La Pm S
2 3 8
Direct
0.2349 0.7651 0.0000
0.7651 0.2349 0.0000
0.2136 0.2136 0.5000
0.5000 0.5000 0.0000
0.7864 0.7864 0.5000
0.1248 0.8752 0.5000
0.1430 0.3859 0.0000
0.3833 0.6167 0.5000
0.3859 0.1430 0.0000
0.6141 0.8570 0.0000
0.6167 0.3833 0.5000
0.8570 0.6141 0.0000
0.8752 0.1248 0.5000
```


Below is ZrCuSb2Te after structural relaxation, with properties calculated at the GGA-PBE level.

**DFT total energy**: -21.85 eV per cell
**Relative energy among the computed polymorphs**: 0 meV/atom
**ΔE_f (raw)**: 436 meV/atom

The structure in POSCAR format:
```
ZrCuSb2Te
1.0
5.0027 0.0000 0.0000
0.0000 5.0027 0.0000
0.0000 0.0000 5.1701
Zr Cu Sb Te
1 1 2 1
Direct
0.0000 0.0000 0.0000
0.5000 0.5000 0.5000
0.0000 0.5000 0.5000
0.5000 0.0000 0.5000
0.5000 0.5000 0.0000
```


Below is SrPBr2 after structural relaxation, with properties calculated at the GGA-PBE level.

**DFT total energy**: -10.18 eV per cell
**Relative energy among the computed polymorphs**: 946 meV/atom
**ΔE_f (raw)**: 65 meV/atom

The structure in POSCAR format:
```
SrPBr2
1.0
2.3135 1.3357 8.2423
-2.3135 1.3357 8.2423
0.0000 -2.6714 8.2423
Sr P Br
1 1 2
Direct
0.0000 0.0000 0.0000
0.5000 0.5000 0.5000
0.1196 0.1196 0.1196
0.8804 0.8804 0.8804
```


Below is K3Rb8Cd after structural relaxation, with properties calculated at the GGA-PBE level.

**DFT total energy**: -23.43 eV per cell
**Energy of formation from the pure elements**: 20 meV per atom

The structure in POSCAR format:
```
K3Rb8Cd
1.0
15.1199 0.0000 0.0000
-7.5600 13.0942 0.0000
0.0000 0.0000 9.5014
K Rb Cd
6 16 2
Direct
0.1597 0.3194 0.0000
0.1597 0.8403 0.0000
0.3194 0.1597 0.5000
0.6806 0.8403 0.0000
0.8403 0.1597 0.5000
0.8403 0.6806 0.5000
0.0000 0.0000 0.2527
0.0000 0.0000 0.7527
0.0403 0.5202 0.2152
0.1973 0.3946 0.5053
0.1973 0.8027 0.5053
0.3333 0.6667 0.8772
0.3946 0.1973 0.0053
0.4798 0.5202 0.2152
0.4798 0.9597 0.2152
0.5202 0.0403 0.7152
0.5202 0.4798 0.7152
0.6054 0.8027 0.5053
0.6667 0.3333 0.3772
0.8027 0.1973 0.0053
0.8027 0.6054 0.0053
0.9597 0.4798 0.7152
0.3333 0.6667 0.3038
0.6667 0.3333 0.8038
```


Below is Ce2PmPaS5 after structural relaxation, with properties calculated at the GGA-PBE level.

**DFT total energy**: -58.66 eV per cell
**ΔE_f (raw)**: -1323 meV/atom

The structure in POSCAR format:
```
Ce2PmPaS5
1.0
4.9336 0.0000 0.0000
0.0000 4.9336 0.0000
0.0000 0.0000 10.4735
Ce Pm Pa S
2 1 1 5
Direct
0.0000 0.0000 0.2030
0.0000 0.0000 0.7970
0.5000 0.5000 0.5000
0.5000 0.5000 0.0000
0.0000 0.0000 0.5000
0.0000 0.5000 0.0000
0.5000 0.0000 0.0000
0.5000 0.5000 0.2510
0.5000 0.5000 0.7490
```


Below is TiCrCuAu2 after structural relaxation, with properties calculated at the GGA-PBE level.

**DFT total energy**: -24.02 eV per cell
**Energy of formation from the pure elements**: 829 meV per atom

The structure in POSCAR format:
```
TiCrCuAu2
1.0
4.8820 0.0000 0.0000
0.0000 4.8820 0.0000
0.0000 0.0000 4.1522
Ti Cr Cu Au
1 1 1 2
Direct
0.0000 0.0000 0.0000
0.0000 0.0000 0.5000
0.5000 0.5000 0.0000
0.0000 0.5000 0.5000
0.5000 0.0000 0.5000
```


Below is ScMoRh2 after structural relaxation, with properties calculated at the GGA-PBE level.

**DFT total energy**: -33.39 eV per cell
**Energy of formation from the pure elements**: -380 meV per atom

The structure in POSCAR format:
```
ScMoRh2
1.0
4.6811 0.0000 0.0000
0.0000 4.6811 0.0000
0.0000 0.0000 2.9042
Sc Mo Rh
1 1 2
Direct
0.0000 0.0000 0.0000
0.5000 0.5000 0.0000
0.0000 0.5000 0.5000
0.5000 0.0000 0.5000
```


Below is IrOsS3 after structural relaxation, with properties calculated at the GGA-PBE level.

**DFT total energy**: -26.02 eV per cell
**Relative energy among the computed polymorphs**: 0 meV/atom
**ΔE_f (raw)**: 1291 meV/atom

The structure in POSCAR format:
```
IrOsS3
1.0
4.5329 0.0000 0.0000
0.0000 4.5329 0.0000
0.0000 0.0000 4.5329
Ir Os S
1 1 3
Direct
0.0000 0.0000 0.0000
0.5000 0.5000 0.5000
0.0000 0.5000 0.5000
0.5000 0.0000 0.5000
0.5000 0.5000 0.0000
```


Below is SiPdN2 after structural relaxation, with properties calculated at the GGA-PBE level.

**DFT total energy**: -24.75 eV per cell
**ΔE_f (raw)**: 629 meV/atom

The structure in POSCAR format:
```
SiPdN2
1.0
1.5654 0.9038 5.6248
-1.5654 0.9038 5.6248
0.0000 -1.8076 5.6248
Si Pd N
1 1 2
Direct
0.0000 0.0000 0.0000
0.5000 0.5000 0.5000
0.1026 0.1026 0.1026
0.8974 0.8974 0.8974
```


Below is ScCr2Pt after structural relaxation, with properties calculated at the GGA-PBE level.

**DFT total energy**: -32.55 eV per cell
**Energy of formation from the pure elements**: -232 meV per atom

The structure in POSCAR format:
```
ScCr2Pt
1.0
3.1094 0.0000 0.0000
0.0000 3.4420 0.0000
-0.0150 0.0000 6.0137
Sc Cr Pt
1 2 1
Direct
0.0000 0.0000 0.0000
0.9996 0.0000 0.5203
0.4997 0.5000 0.6866
0.5005 0.5000 0.2336
```


Below is Si2AgAs after structural relaxation, with properties calculated at the GGA-PBE level.

**DFT total energy**: -16.65 eV per cell
**ΔE_f (raw)**: 425 meV/atom

The structure in POSCAR format:
```
Si2AgAs
1.0
3.0187 0.0000 0.0000
0.0000 3.0187 0.0000
0.0000 0.0000 7.4419
Si Ag As
2 1 1
Direct
0.0000 0.0000 0.0000
0.5000 0.5000 0.2067
0.0000 0.0000 0.4633
0.5000 0.5000 0.7547
```


Below is MnTe2OsN after structural relaxation, with properties calculated at the GGA-PBE level.

**DFT total energy**: -32.61 eV per cell
**Relative energy among the computed polymorphs**: 0 meV/atom
**ΔE_f (raw)**: 480 meV/atom

The structure in POSCAR format:
```
MnTe2OsN
1.0
5.4867 0.0000 0.0000
0.0000 5.4867 0.0000
0.0000 0.0000 3.6717
Mn Te Os N
1 2 1 1
Direct
0.0000 0.0000 0.0000
0.0000 0.5000 0.5000
0.5000 0.0000 0.5000
0.5000 0.5000 0.5000
0.5000 0.5000 0.0000
```


Below is LaTe2HN after structural relaxation, with properties calculated at the GGA-PBE level.

**DFT total energy**: -19.28 eV per cell
**Relative energy among the computed polymorphs**: 432 meV/atom

The structure in POSCAR format:
```
LaTe2HN
1.0
6.6939 0.0000 0.0000
0.0000 6.6939 0.0000
0.0000 0.0000 4.0039
La Te H N
1 2 1 1
Direct
0.0000 0.0000 0.0000
0.0000 0.5000 0.0000
0.5000 0.0000 0.0000
0.5000 0.5000 0.5000
0.0000 0.0000 0.5000
```


Below is Be2TcCl after structural relaxation, with properties calculated at the GGA-PBE level.

**DFT total energy**: -17.76 eV per cell
**Relative energy among the computed polymorphs**: 351 meV/atom
**ΔE_f (raw)**: 477 meV/atom

The structure in POSCAR format:
```
Be2TcCl
1.0
1.3945 -2.4187 0.0000
1.3945 2.4187 0.0000
0.0000 0.0000 9.6654
Be Tc Cl
2 1 1
Direct
0.0000 0.0000 0.0000
0.5000 0.5000 0.2002
0.5000 0.5000 0.8019
0.0000 0.0000 0.3463
```


Below is NdEuHo2 after structural relaxation, with properties calculated at the GGA-PBE level.

**DFT total energy**: -23.61 eV per cell
**Relative energy among the computed polymorphs**: 80 meV/atom
**Energy of formation from the pure elements**: 146 meV per atom

The structure in POSCAR format:
```
NdEuHo2
1.0
5.9296 0.0000 0.0000
0.0000 5.9296 0.0000
0.0000 0.0000 3.8796
Nd Eu Ho
1 1 2
Direct
0.0000 0.0000 0.0000
0.5000 0.5000 0.0000
0.0000 0.5000 0.5000
0.5000 0.0000 0.5000
```


Below is MgNbAu after structural relaxation, with properties calculated at the GGA-PBE level.

**DFT total energy**: -12.73 eV per cell
**Energy of formation from the pure elements**: 737 meV per atom

The structure in POSCAR format:
```
MgNbAu
1.0
0.0000 3.1301 3.1301
3.1301 0.0000 3.1301
3.1301 3.1301 0.0000
Mg Nb Au
1 1 1
Direct
0.0000 0.0000 0.0000
0.7500 0.7500 0.7500
0.2500 0.2500 0.2500
```